KRb2Ag3As2 | PBE | relaxed

Lattice parameters (Å, degrees): 6.2033 6.2033 21.7442 90.00 90.00 120.00
Space group R-3m (No. 166, hexagonal axes)
Unique sites:
K (0.0000, 0.0000, 0.0000) [3 per cell]
Rb (0.0000, 0.0000, 0.4083) [6 per cell]
Ag (0.0000, 0.5000, 0.5000) [9 per cell]
As (0.0000, 0.0000, 0.2522) [6 per cell]

Values from the calculation:
- Energy: -2.944 eV/atom


NbCuSi | PBE | relaxed

Lattice parameters (Å, degrees): 5.794 5.794 5.794 90.00 90.00 90.00
Space group F-43m (No. 216)
Unique sites:
Nb (0.000, 0.000, 0.000) [4 per cell]
Cu (0.000, 0.000, 0.500) [4 per cell]
Si (0.250, 0.250, 0.750) [4 per cell]

Values from the calculation:
- M_tot: 0.00 μB per formula unit
- Energy: -6.373 eV/atom


Sc2Bi3W4C3 | PBE | relaxed

Lattice parameters (Å, degrees): 10.032 5.911 14.025 90.00 97.97 90.00
Space group C2/c (No. 15)
Unique sites:
Sc (0.057, 0.079, 0.409) [8 per cell]
Bi (0.000, 0.425, 0.250) [4 per cell]
Bi (0.173, 0.111, 0.740) [8 per cell]
W (0.091, 0.398, 0.568) [8 per cell]
W (0.242, 0.430, 0.936) [8 per cell]
C (0.089, 0.259, 0.002) [8 per cell]
C (0.250, 0.250, 0.500) [4 per cell]

Values from the calculation:
- M_tot: 0.00 μB per formula unit
- Energy: -8.670 eV/atom


MoI2BrCl2 | PBE | relaxed

Lattice parameters (Å, degrees): 6.571 7.198 9.871 106.65 92.24 113.32
Space group P-1 (No. 2)
Unique sites:
Mo (0.100, 0.206, 0.206) [2 per cell]
I (0.083, 0.809, 0.561) [2 per cell]
I (0.455, 0.568, 0.331) [2 per cell]
Br (0.241, 0.173, 0.953) [2 per cell]
Cl (0.111, 0.640, 0.867) [2 per cell]
Cl (0.280, 0.998, 0.237) [2 per cell]

Values from the calculation:
- M_tot: 0.99 μB per formula unit
- Polymorph energy (0 for the lowest one): 0.000 eV per atom


NdTmTe3Pb | PBE | relaxed

Lattice parameters (Å, degrees): 4.490 15.385 12.085 90.00 90.00 90.00
Space group Cmcm (No. 63)
Unique sites:
Nd (0.000, 0.000, 0.000) [4 per cell]
Tm (0.000, 0.471, 0.250) [4 per cell]
Te (0.000, 0.096, 0.250) [4 per cell]
Te (0.000, 0.357, 0.051) [8 per cell]
Pb (0.000, 0.199, 0.750) [4 per cell]

Values from the calculation:
- M_tot: 0.27 μB per formula unit
- Energy: -4.618 eV/atom


PrCu2 | PBE | relaxed

Lattice parameters (Å, degrees): 4.365 7.130 7.515 90.00 90.00 90.00
Space group Imma (No. 74)
Unique sites:
Pr (0.000, 0.250, 0.036) [4 per cell]
Cu (0.000, 0.046, 0.665) [8 per cell]

Values from the calculation:
- M_tot: 0.01 μB per formula unit
- Formation energy: -0.1950 eV per atom


Tb2GdGa3AgIr2 | PBE | relaxed

Lattice parameters (Å, degrees): 3.906 12.694 7.310 90.00 90.00 90.00
Space group Amm2 (No. 38)
Unique sites:
Tb (0.000, 0.205, 0.000) [4 per cell]
Gd (0.000, 0.000, 0.616) [2 per cell]
Ga (0.500, 0.000, 0.935) [2 per cell]
Ga (0.500, 0.136, 0.340) [4 per cell]
Ag (0.000, 0.000, 0.205) [2 per cell]
Ir (0.500, 0.167, 0.706) [4 per cell]

Values from the calculation:
- M_tot: 0.01 μB per formula unit
- Energy: -5.542 eV/atom


RbHfGaSe3 | PBE | relaxed

Lattice parameters (Å, degrees): 8.529 3.878 10.925 90.00 102.15 90.00
Space group P2_1/m (No. 11)
Unique sites:
Rb (0.232, 0.250, 0.306) [2 per cell]
Hf (0.352, 0.750, 0.858) [2 per cell]
Ga (0.103, 0.250, 0.606) [2 per cell]
Se (0.133, 0.250, 0.858) [2 per cell]
Se (0.324, 0.750, 0.616) [2 per cell]
Se (0.420, 0.750, 0.116) [2 per cell]

Values from the calculation:
- M_tot: 0.00 μB per formula unit
- Polymorph energy (0 for the lowest one): 0.000 eV per atom


PrTeAs | PBE | relaxed

Lattice parameters (Å, degrees): 8.6482 8.6482 3.9550 90.00 90.00 120.00
Space group P-62m (No. 189)
Unique sites:
Pr (0.0000, 0.2925, 0.0000) [3 per cell]
Te (0.0000, 0.0000, 0.5000) [1 per cell]
Te (0.3333, 0.6667, 0.0000) [2 per cell]
As (0.0000, 0.5938, 0.5000) [3 per cell]

Values from the calculation:
- M_tot: 0.00 μB per formula unit
- Energy: -4.812 eV/atom


Zr2Ta4Cu3C3 | PBE | relaxed

Lattice parameters (Å, degrees): 9.451 5.451 13.862 90.00 103.48 90.00
Space group C2/c (No. 15)
Unique sites:
Zr (0.042, 0.081, 0.387) [8 per cell]
Ta (0.112, 0.409, 0.586) [8 per cell]
Ta (0.224, 0.420, 0.914) [8 per cell]
Cu (0.000, 0.430, 0.750) [4 per cell]
Cu (0.241, 0.156, 0.751) [8 per cell]
C (0.084, 0.251, 0.000) [8 per cell]
C (0.250, 0.250, 0.500) [4 per cell]

Values from the calculation:
- M_tot: 0.02 μB per formula unit
- Energy: -9.011 eV/atom


Cu17Ag3 | PBE | relaxed

Lattice parameters (Å, degrees): 5.808 6.906 6.938 94.25 90.34 114.68
Space group P1 (No. 1)
Unique sites:
Cu (0.000, 0.000, 0.000) [1 per cell]
Cu (0.031, 0.690, 0.573) [1 per cell]
Cu (0.089, 0.389, 0.101) [1 per cell]
Cu (0.141, 0.112, 0.670) [1 per cell]
Cu (0.198, 0.791, 0.192) [1 per cell]
Cu (0.240, 0.500, 0.768) [1 per cell]
Cu (0.303, 0.200, 0.291) [1 per cell]
Cu (0.341, 0.897, 0.863) [1 per cell]
Cu (0.447, 0.300, 0.957) [1 per cell]
Cu (0.545, 0.694, 0.050) [1 per cell]
Cu (0.599, 0.406, 0.621) [1 per cell]
Cu (0.645, 0.097, 0.146) [1 per cell]
Cu (0.699, 0.801, 0.723) [1 per cell]
Cu (0.754, 0.487, 0.254) [1 per cell]
Cu (0.797, 0.203, 0.814) [1 per cell]
Cu (0.893, 0.597, 0.913) [1 per cell]
Cu (0.940, 0.302, 0.463) [1 per cell]
Ag (0.388, 0.587, 0.408) [1 per cell]
Ag (0.483, 0.005, 0.511) [1 per cell]
Ag (0.862, 0.901, 0.356) [1 per cell]

Values from the calculation:
- Formation energy: 0.0561 eV per atom
- Polymorph energy (0 for the lowest one): 0.001 eV per atom


Dy2HoCd3In3 | PBE | relaxed

Lattice parameters (Å, degrees): 4.618 12.967 7.497 90.00 90.00 90.00
Space group Amm2 (No. 38)
Unique sites:
Dy (0.000, 0.217, 0.000) [4 per cell]
Ho (0.000, 0.000, 0.349) [2 per cell]
Cd (0.500, 0.000, 0.029) [2 per cell]
Cd (0.500, 0.123, 0.660) [4 per cell]
In (0.000, 0.000, 0.782) [2 per cell]
In (0.500, 0.166, 0.283) [4 per cell]

Values from the calculation:
- M_tot: 0.00 μB per formula unit
- Energy: -3.144 eV/atom


TmZr2Sn | PBE | relaxed

Lattice parameters (Å, degrees): 4.365 4.367 10.792 90.00 101.67 90.00
Space group P2_1/m (No. 11)
Unique sites:
Tm (0.190, 0.250, 0.380) [2 per cell]
Zr (0.056, 0.750, 0.111) [2 per cell]
Zr (0.446, 0.750, 0.892) [2 per cell]
Sn (0.337, 0.250, 0.675) [2 per cell]

Values from the calculation:
- M_tot: 0.00 μB per formula unit
- Energy: -6.842 eV/atom


DySn3Pd4 | PBE | relaxed

Lattice parameters (Å, degrees): 5.704 4.407 6.272 90.00 92.52 90.00
Space group Pm (No. 6)
Unique sites:
Dy (0.000, 0.000, 0.000) [1 per cell]
Sn (0.273, 0.500, 0.343) [1 per cell]
Sn (0.526, 0.500, 0.858) [1 per cell]
Sn (0.791, 0.000, 0.504) [1 per cell]
Pd (0.331, 0.000, 0.644) [1 per cell]
Pd (0.478, 0.000, 0.156) [1 per cell]
Pd (0.798, 0.500, 0.234) [1 per cell]
Pd (0.992, 0.500, 0.694) [1 per cell]

Values from the calculation:
- M_tot: 0.00 μB per formula unit
- Energy: -5.337 eV/atom


Lu4ZnAuN2 | PBE | relaxed

Lattice parameters (Å, degrees): 3.3974 3.3974 14.4289 90.00 90.00 120.00
Space group P-6m2 (No. 187)
Unique sites:
Lu (0.0000, 0.0000, 0.1552) [2 per cell]
Lu (0.3333, 0.6667, 0.3401) [2 per cell]
Zn (0.0000, 0.0000, 0.5000) [1 per cell]
Au (0.3333, 0.6667, 0.0000) [1 per cell]
N (0.6667, 0.3333, 0.2502) [2 per cell]

Values from the calculation:
- M_tot: 0.03 μB per formula unit
- Energy: -5.971 eV/atom


TbGd2O3 | PBE | relaxed

Lattice parameters (Å, degrees): 3.4237 3.4237 8.3911 90.00 90.00 120.00
Space group P-3m1 (No. 164)
Unique sites:
Tb (0.0000, 0.0000, 0.0000) [1 per cell]
Gd (0.3333, 0.6667, 0.6665) [2 per cell]
O (0.0000, 0.0000, 0.5000) [1 per cell]
O (0.3333, 0.6667, 0.1644) [2 per cell]

Values from the calculation:
- M_tot: 0.01 μB per formula unit
- Energy: -7.594 eV/atom


SmCd2Si2 | PBE | relaxed

Lattice parameters (Å, degrees): 7.414 7.414 4.040 90.00 90.00 90.00
Space group P4/mbm (No. 127)
Unique sites:
Sm (0.000, 0.000, 0.000) [2 per cell]
Cd (0.176, 0.324, 0.500) [4 per cell]
Si (0.113, 0.613, 0.000) [4 per cell]

Values from the calculation:
- M_tot: 0.02 μB per formula unit
- Energy: -3.487 eV/atom


TcCl4 | PBE | relaxed

Lattice parameters (Å, degrees): 6.084 11.826 14.213 90.00 90.00 90.00
Space group Pbca (No. 61)
Unique sites:
Tc (0.101, 0.128, 0.179) [8 per cell]
Cl (0.046, 0.746, 0.428) [8 per cell]
Cl (0.074, 0.741, 0.193) [8 per cell]
Cl (0.224, 0.515, 0.307) [8 per cell]
Cl (0.248, 0.010, 0.071) [8 per cell]

Values from the calculation:
- M_tot: 3.00 μB per formula unit
- Polymorph energy (0 for the lowest one): 0.000 eV per atom


Dy3Ho2Lu2Ni2Te2 | PBE | relaxed

Lattice parameters (Å, degrees): 3.838 15.470 9.532 90.00 90.00 90.00
Space group Imm2 (No. 44)
Unique sites:
Dy (0.000, 0.000, 0.000) [2 per cell]
Dy (0.000, 0.134, 0.581) [4 per cell]
Ho (0.000, 0.352, 0.729) [4 per cell]
Lu (0.000, 0.315, 0.378) [4 per cell]
Ni (0.000, 0.236, 0.068) [4 per cell]
Te (0.000, 0.000, 0.336) [2 per cell]
Te (0.000, 0.500, 0.236) [2 per cell]

Values from the calculation:
- M_tot: 0.01 μB per formula unit
- Energy: -5.180 eV/atom